{
  "formula": "NaZnGa2Au4",
  "functional": "PBE",
  "state": "optimized geometry",
  "lattice_angstrom": [[-2.675, 3.560, 1.163], [-4.571, -0.318, -0.434], [-2.916, -1.682, 7.546]],
  "species": ["Na", "Zn", "Ga", "Ga", "Au", "Au", "Au", "Au"],
  "frac_coords": [[0.000, 0.000, 0.000], [0.500, 0.500, 0.500], [0.741, 0.741, 0.778], [0.259, 0.259, 0.222], [0.389, 0.389, 0.832], [0.867, 0.867, 0.399], [0.133, 0.133, 0.601], [0.611, 0.611, 0.168]],
  "energy_ev_per_fu": -23.4,
  "ef_ev_per_atom": -0.200
}